Li12Mg3Cu5: optimized geometry, PBE-GGA.

Unit cell a=13.2713 b=13.2713 c=13.2713 alpha=109.47 beta=109.47 gamma=109.47
Last column: nearest neighbours and their distance in Å.
Fractional positions:
Mg (0.7500, 0.3750, 0.1250)  8 Li 2.91-3.14
Mg (0.8750, 0.7500, 0.1250)  8 Li 2.91-3.14
Mg (0.3750, 0.7500, 0.6250)  8 Li 2.91-3.14
Mg (0.2500, 0.1250, 0.3750)  8 Li 2.91-3.14
Mg (0.8750, 0.1250, 0.2500)  8 Li 2.91-3.14
Mg (0.3750, 0.6250, 0.2500)  8 Li 2.91-3.14
Mg (0.6250, 0.3750, 0.7500)  8 Li 2.91-3.14
Mg (0.1250, 0.8750, 0.7500)  8 Li 2.91-3.14
Mg (0.7500, 0.8750, 0.6250)  8 Li 2.91-3.14
Mg (0.6250, 0.2500, 0.3750)  8 Li 2.91-3.14
Mg (0.1250, 0.2500, 0.8750)  8 Li 2.91-3.14
Mg (0.2500, 0.6250, 0.8750)  8 Li 2.91-3.14
Cu (0.1250, 0.3750, 0.2500)  4 Li 2.38
Cu (0.0000, 0.5000, 0.0000)  6 Li 2.43
Cu (0.0000, 0.0000, 0.0000)  6 Li 2.43
Cu (0.3750, 0.2500, 0.1250)  4 Li 2.38
Cu (0.5000, 0.0000, 0.5000)  6 Li 2.43
Cu (0.5000, 0.5000, 0.0000)  6 Li 2.43
Cu (0.1250, 0.7500, 0.3750)  4 Li 2.38
Cu (0.7500, 0.1250, 0.8750)  4 Li 2.38
Cu (0.7500, 0.6250, 0.3750)  4 Li 2.38
Cu (0.3750, 0.1250, 0.7500)  4 Li 2.38
Cu (0.6250, 0.8750, 0.2500)  4 Li 2.38
Cu (0.5000, 0.5000, 0.5000)  6 Li 2.43
Cu (0.5000, 0.0000, 0.0000)  6 Li 2.43
Cu (0.0000, 0.0000, 0.5000)  6 Li 2.43
Cu (0.2500, 0.3750, 0.6250)  4 Li 2.38
Cu (0.2500, 0.8750, 0.1250)  4 Li 2.38
Cu (0.0000, 0.5000, 0.5000)  6 Li 2.43
Cu (0.8750, 0.2500, 0.6250)  4 Li 2.38
Cu (0.6250, 0.7500, 0.8750)  4 Li 2.38
Cu (0.8750, 0.6250, 0.7500)  4 Li 2.38
Li (0.7047, 0.1043, 0.0281)  2 Cu 2.38-2.43
Li (0.3234, 0.5281, 0.4238)  2 Cu 2.38-2.43
Li (0.9719, 0.3957, 0.2953)  2 Cu 2.38-2.43
Li (0.5281, 0.2047, 0.1043)  2 Cu 2.38-2.43
Li (0.6004, 0.7047, 0.6766)  2 Cu 2.38-2.43
Li (0.9719, 0.5762, 0.1766)  2 Cu 2.38-2.43
Li (0.3234, 0.7953, 0.3996)  2 Cu 2.38-2.43
Li (0.0762, 0.8996, 0.1043)  2 Cu 2.38-2.43
Li (0.5762, 0.9719, 0.6766)  2 Cu 2.38-2.43
Li (0.7047, 0.6004, 0.1766)  2 Cu 2.38-2.43
Li (0.7953, 0.4719, 0.3957)  2 Cu 2.38-2.43
Li (0.8234, 0.9238, 0.0281)  2 Cu 2.38-2.43
Li (0.1043, 0.7047, 0.5281)  2 Cu 2.38-2.43
Li (0.3957, 0.4238, 0.1004)  2 Cu 2.38-2.43
Li (0.1004, 0.9238, 0.3957)  2 Cu 2.38-2.43
Li (0.3996, 0.1043, 0.5762)  2 Cu 2.38-2.43
Li (0.1004, 0.1766, 0.2047)  2 Cu 2.38-2.43
Li (0.4719, 0.6766, 0.0762)  2 Cu 2.38-2.43
Li (0.8234, 0.8996, 0.2953)  2 Cu 2.38-2.43
Li (0.1043, 0.3996, 0.0762)  2 Cu 2.38-2.43
Li (0.3957, 0.9719, 0.7953)  2 Cu 2.38-2.43
Li (0.5762, 0.6043, 0.3996)  2 Cu 2.38-2.43
Li (0.9238, 0.8234, 0.5281)  2 Cu 2.38-2.43
Li (0.7953, 0.3234, 0.8996)  2 Cu 2.38-2.43
Li (0.4238, 0.3957, 0.6004)  2 Cu 2.38-2.43
Li (0.0762, 0.1766, 0.4719)  2 Cu 2.38-2.43
Li (0.2047, 0.6766, 0.1004)  2 Cu 2.38-2.43
Li (0.1766, 0.1004, 0.7047)  2 Cu 2.38-2.43
Li (0.6043, 0.0281, 0.2047)  2 Cu 2.38-2.43
Li (0.8957, 0.6004, 0.9238)  2 Cu 2.38-2.43
Li (0.5281, 0.3234, 0.9238)  2 Cu 2.38-2.43
Li (0.6004, 0.8957, 0.4238)  2 Cu 2.38-2.43
Li (0.8996, 0.8234, 0.7953)  2 Cu 2.38-2.43
Li (0.8996, 0.0762, 0.6043)  2 Cu 2.38-2.43
Li (0.8957, 0.2953, 0.4719)  2 Cu 2.38-2.43
Li (0.1766, 0.0762, 0.9719)  2 Cu 2.38-2.43
Li (0.6043, 0.5762, 0.8996)  2 Cu 2.38-2.43
Li (0.4238, 0.0281, 0.3234)  2 Cu 2.38-2.43
Li (0.2953, 0.3996, 0.8234)  2 Cu 2.38-2.43
Li (0.2047, 0.5281, 0.6043)  2 Cu 2.38-2.43
Li (0.9238, 0.1004, 0.8957)  2 Cu 2.38-2.43
Li (0.6766, 0.2047, 0.6004)  2 Cu 2.38-2.43
Li (0.4719, 0.7953, 0.8957)  2 Cu 2.38-2.43
Li (0.0281, 0.4238, 0.8234)  2 Cu 2.38-2.43
Li (0.3996, 0.2953, 0.3234)  2 Cu 2.38-2.43
Li (0.0281, 0.6043, 0.7047)  2 Cu 2.38-2.43
Li (0.6766, 0.4719, 0.5762)  2 Cu 2.38-2.43
Li (0.2953, 0.8957, 0.9719)  2 Cu 2.38-2.43

Output
ΔH_f (0 K): 377 meV/atom
ρ: 1.75 g cm⁻³
Electronic total energy: -2.03 eV per atom

---

Li2Mg2Cu: optimized geometry, PBE-GGA.

Unit cell a=3.4454 b=3.4454 c=8.1896 alpha=77.86 beta=77.86 gamma=90.00
Last column: nearest neighbours and their distance in Å.
Fractional positions:
Mg (0.4069, 0.4069, 0.1863)  4 Cu 2.84, 1 Mg 2.91, 4 Li 3.00
Mg (0.5931, 0.5931, 0.8137)  4 Cu 2.84, 1 Mg 2.91, 4 Li 3.00
Cu (0.0000, 0.0000, 0.0000)  8 Mg 2.84
Li (0.7500, 0.2500, 0.5000)  4 Li 2.44
Li (0.2500, 0.7500, 0.5000)  4 Li 2.44

Output
ΔH_f (0 K): 128 meV/atom
ρ: 2.25 g cm⁻³
Electronic total energy: -2.09 eV per atom
ΔE to the lowest computed polymorph: 0.206 eV per atom

---

Li2MgCu: optimized geometry, PBE-GGA.

Unit cell a=4.7442 b=5.4768 c=2.9184 alpha=76.92 beta=84.69 gamma=114.11
Last column: nearest neighbours and their distance in Å.
Fractional positions:
Mg (0.0000, 0.5000, 0.5000)  4 Cu 2.67-2.90, 4 Li 2.80, 2 Mg 2.92
Cu (0.5000, 0.5000, 0.0000)  4 Mg 2.67-2.90, 4 Li 2.80, 2 Cu 2.92
Li (0.0000, 0.0000, 0.0000)  6 Li 2.67-2.92, 2 Mg 2.80, 2 Cu 2.80
Li (0.5000, 0.0000, 0.5000)  6 Li 2.67-2.92, 2 Cu 2.80, 2 Mg 2.80

Output
ΔH_f (0 K): 20 meV/atom
ρ: 2.56 g cm⁻³
Electronic total energy: -2.36 eV per atom

---

Li2MgCu: optimized geometry, PBE-GGA.

Unit cell a=3.7572 b=3.7572 c=10.2120 alpha=79.40 beta=79.40 gamma=90.00
Last column: nearest neighbours and their distance in Å.
Fractional positions:
Mg (0.5000, 0.5000, 0.0000)  4 Cu 2.66, 4 Li 2.83
Mg (0.2500, 0.7500, 0.5000)  4 Cu 2.66, 4 Li 2.83
Cu (0.0000, 0.0000, 0.0000)  4 Mg 2.66, 4 Li 2.77
Cu (0.7500, 0.2500, 0.5000)  4 Mg 2.66, 4 Li 2.77
Li (0.6481, 0.1250, 0.2500)  4 Li 2.54-2.78, 2 Cu 2.77, 2 Mg 2.83
Li (0.1019, 0.6250, 0.2500)  4 Li 2.54-2.78, 2 Cu 2.77, 2 Mg 2.83
Li (0.3750, 0.3519, 0.7500)  4 Li 2.54-2.78, 2 Cu 2.77, 2 Mg 2.83
Li (0.8750, 0.8981, 0.7500)  4 Li 2.54-2.78, 2 Cu 2.77, 2 Mg 2.83

Output
ΔH_f (0 K): 106 meV/atom
ρ: 2.43 g cm⁻³
Electronic total energy: -2.27 eV per atom

---

Li6MgCu3: optimized geometry, PBE-GGA.

Unit cell a=6.6790 b=7.4813 c=7.4813 alpha=120.89 beta=90.00 gamma=90.00
Last column: nearest neighbours and their distance in Å.
Fractional positions:
Li (0.1608, 0.7089, 0.6490)  4 Cu 2.60-2.81, 4 Li 2.64-2.86
Li (0.6608, 0.6490, 0.7089)  4 Cu 2.60-2.81, 4 Li 2.64-2.86
Li (0.3286, 0.5228, 0.8607)  3 Cu 2.69-2.75, 6 Li 2.77-2.92, 2 Mg 2.79-2.96
Li (0.8286, 0.8607, 0.5228)  3 Cu 2.69-2.75, 6 Li 2.77-2.92, 2 Mg 2.79-2.96
Li (0.2902, 0.9709, 0.0291)  4 Li 2.64-2.92, 4 Cu 2.72-2.87, 1 Mg 2.94
Li (0.6885, 0.2665, 0.7335)  3 Cu 2.51-2.61, 2 Li 2.77
Li (0.1885, 0.7335, 0.2665)  3 Cu 2.51-2.61, 2 Li 2.77
Li (0.7902, 0.0291, 0.9709)  4 Li 2.64-2.92, 4 Cu 2.72-2.87, 1 Mg 2.94
Li (0.3286, 0.1393, 0.4772)  3 Cu 2.69-2.75, 6 Li 2.77-2.92, 2 Mg 2.79-2.96
Li (0.8286, 0.4772, 0.1393)  3 Cu 2.69-2.75, 6 Li 2.77-2.92, 2 Mg 2.79-2.96
Li (0.1608, 0.3510, 0.2911)  4 Cu 2.60-2.81, 4 Li 2.64-2.86
Li (0.6608, 0.2911, 0.3510)  4 Cu 2.60-2.81, 4 Li 2.64-2.86
Mg (0.1119, 0.1836, 0.8164)  3 Cu 2.71-2.74, 7 Li 2.79-3.03
Mg (0.6119, 0.8164, 0.1836)  3 Cu 2.71-2.74, 7 Li 2.79-3.03
Cu (0.4629, 0.9642, 0.6960)  2 Cu 2.45-2.51, 5 Li 2.61-2.72, 1 Mg 2.74
Cu (0.9629, 0.6960, 0.9642)  2 Cu 2.45-2.51, 5 Li 2.61-2.72, 1 Mg 2.74
Cu (0.9901, 0.3819, 0.6181)  2 Cu 2.45, 3 Li 2.51-2.60, 1 Mg 2.71
Cu (0.4901, 0.6181, 0.3819)  2 Cu 2.45, 3 Li 2.51-2.60, 1 Mg 2.71
Cu (0.9629, 0.0358, 0.3040)  2 Cu 2.45-2.51, 5 Li 2.61-2.72, 1 Mg 2.74
Cu (0.4629, 0.3040, 0.0358)  2 Cu 2.45-2.51, 5 Li 2.61-2.72, 1 Mg 2.74

Output
ΔH_f (0 K): 1 meV/atom
ρ: 2.66 g cm⁻³
Electronic total energy: -2.54 eV per atom

---

Li23Mg6Cu: optimized geometry, PBE-GGA.

Unit cell a=9.3714 b=9.3714 c=9.3714 alpha=60.00 beta=60.00 gamma=60.00
Last column: nearest neighbours and their distance in Å.
Fractional positions:
Li (0.6475, 0.1175, 0.1175)  4 Li 2.70-2.93
Li (0.3525, 0.8825, 0.8825)  4 Li 2.70-2.93
Li (0.1175, 0.1175, 0.6475)  4 Li 2.70-2.93
Li (0.1175, 0.1175, 0.1175)  4 Li 2.70-2.93
Li (0.8825, 0.8825, 0.3525)  4 Li 2.70-2.93
Li (0.8825, 0.8825, 0.8825)  4 Li 2.70-2.93
Li (0.1175, 0.6475, 0.1175)  4 Li 2.70-2.93
Li (0.8825, 0.3525, 0.8825)  4 Li 2.70-2.93
Li (0.5000, 0.5000, 0.0000)  8 Li 2.71-2.93
Li (0.0000, 0.0000, 0.5000)  8 Li 2.71-2.93
Li (0.5000, 0.0000, 0.0000)  8 Li 2.71-2.93
Li (0.0000, 0.5000, 0.5000)  8 Li 2.71-2.93
Li (0.5000, 0.0000, 0.5000)  8 Li 2.71-2.93
Li (0.0000, 0.5000, 0.0000)  8 Li 2.71-2.93
Li (0.9784, 0.3405, 0.3405)  3 Li 2.71
Li (0.0216, 0.6595, 0.6595)  3 Li 2.71
Li (0.3405, 0.3405, 0.9784)  3 Li 2.71
Li (0.3405, 0.3405, 0.3405)  3 Li 2.71
Li (0.6595, 0.6595, 0.0216)  3 Li 2.71
Li (0.6595, 0.6595, 0.6595)  3 Li 2.71
Li (0.3405, 0.9784, 0.3405)  3 Li 2.71
Li (0.6595, 0.0216, 0.6595)  3 Li 2.71
Li (0.0000, 0.0000, 0.0000)  8 Li 2.70
Mg (0.7047, 0.7047, 0.2953)  1 Cu 2.71
Mg (0.2953, 0.2953, 0.7047)  1 Cu 2.71
Mg (0.7047, 0.2953, 0.2953)  1 Cu 2.71
Mg (0.2953, 0.7047, 0.7047)  1 Cu 2.71
Mg (0.7047, 0.2953, 0.7047)  1 Cu 2.71
Mg (0.2953, 0.7047, 0.2953)  1 Cu 2.71
Cu (0.5000, 0.5000, 0.5000)  6 Mg 2.71

Output
ΔH_f (0 K): 18 meV/atom
ρ: 1.05 g cm⁻³
Electronic total energy: -1.90 eV per atom

---

Li4Mg9Cu: optimized geometry, PBE-GGA.

Unit cell a=8.7802 b=8.7003 c=8.7003 alpha=120.00 beta=90.00 gamma=90.00
Last column: nearest neighbours and their distance in Å.
Fractional positions:
Li (0.2500, 0.1122, 0.2245)  4 Li 2.77-2.93, 4 Mg 2.90-2.98
Li (0.2500, 0.1122, 0.8878)  4 Li 2.77-2.93, 4 Mg 2.90-2.98
Li (0.2500, 0.7755, 0.8878)  4 Li 2.77-2.93, 4 Mg 2.90-2.98
Li (0.7500, 0.8878, 0.7755)  4 Li 2.77-2.93, 4 Mg 2.90-2.98
Li (0.7500, 0.8878, 0.1122)  4 Li 2.77-2.93, 4 Mg 2.90-2.98
Li (0.7500, 0.2245, 0.1122)  4 Li 2.77-2.93, 4 Mg 2.90-2.98
Li (0.0000, 0.0000, 0.0000)  6 Li 2.77
Li (0.5000, 0.0000, 0.0000)  6 Li 2.77
Mg (0.0505, 0.7954, 0.5909)  1 Cu 2.61
Mg (0.0505, 0.7954, 0.2046)  1 Cu 2.61
Mg (0.0505, 0.4091, 0.2046)  1 Cu 2.61
Mg (0.9495, 0.2046, 0.4091)  1 Cu 2.61
Mg (0.9495, 0.2046, 0.7954)  1 Cu 2.61
Mg (0.9495, 0.5909, 0.7954)  1 Cu 2.61
Mg (0.5505, 0.2046, 0.4091)  1 Cu 2.61
Mg (0.5505, 0.2046, 0.7954)  1 Cu 2.61
Mg (0.5505, 0.5909, 0.7954)  1 Cu 2.61
Mg (0.4495, 0.7954, 0.5909)  1 Cu 2.61
Mg (0.4495, 0.7954, 0.2046)  1 Cu 2.61
Mg (0.4495, 0.4091, 0.2046)  1 Cu 2.61
Mg (0.2500, 0.4630, 0.9260)  2 Li 2.90, 1 Cu 3.07, 4 Mg 3.21
Mg (0.2500, 0.4630, 0.5370)  2 Li 2.90, 1 Cu 3.07, 4 Mg 3.21
Mg (0.2500, 0.0740, 0.5370)  2 Li 2.90, 1 Cu 3.07, 4 Mg 3.21
Mg (0.7500, 0.5370, 0.0740)  2 Li 2.90, 1 Cu 3.07, 4 Mg 3.21
Mg (0.7500, 0.5370, 0.4630)  2 Li 2.90, 1 Cu 3.07, 4 Mg 3.21
Mg (0.7500, 0.9260, 0.4630)  2 Li 2.90, 1 Cu 3.07, 4 Mg 3.21
Cu (0.2500, 0.6667, 0.3333)  6 Mg 2.61
Cu (0.7500, 0.3333, 0.6667)  6 Mg 2.61

Output
ΔH_f (0 K): -47 meV/atom
ρ: 1.79 g cm⁻³
Electronic total energy: -1.91 eV per atom

---

LiMgCu: optimized geometry, PBE-GGA.

Unit cell a=5.2217 b=5.0894 c=5.0894 alpha=59.58 beta=59.14 gamma=59.14
Last column: nearest neighbours and their distance in Å.
Fractional positions:
Li (0.5000, 0.5000, 0.0000)  2 Li 2.53, 4 Cu 2.54
Li (0.5000, 0.0000, 0.5000)  2 Li 2.53, 4 Cu 2.54
Mg (0.8798, 0.3702, 0.3702)  6 Cu 2.94-2.99, 6 Li 2.99-3.02, 4 Mg 3.05-3.20
Mg (0.1202, 0.6298, 0.6298)  6 Cu 2.94-2.99, 6 Li 2.99-3.02, 4 Mg 3.05-3.20
Cu (0.0000, 0.0000, 0.0000)  4 Li 2.54, 2 Cu 2.61
Cu (0.5000, 0.0000, 0.0000)  4 Li 2.54, 2 Cu 2.61

Output
ΔH_f (0 K): -63 meV/atom
ρ: 3.35 g cm⁻³
Electronic total energy: -2.60 eV per atom
ΔE to the lowest computed polymorph: 0.000 eV per atom

---

Li2MgCu: optimized geometry, PBE-GGA.

Unit cell a=2.9195 b=2.9195 c=9.2890 alpha=81.14 beta=81.14 gamma=60.00
Last column: nearest neighbours and their distance in Å.
Fractional positions:
Li (0.0732, 0.0732, 0.7800)  3 Cu 2.62, 6 Li 2.92
Li (0.2609, 0.2609, 0.2199)  3 Cu 2.62-2.63, 6 Li 2.92
Mg (0.4977, 0.4977, 0.5000)  6 Mg 2.92, 6 Li 3.05-3.07
Cu (0.6682, 0.6682, 0.0001)  6 Li 2.62-2.63, 6 Cu 2.92

Output
ΔH_f (0 K): 55 meV/atom
ρ: 2.50 g cm⁻³
Electronic total energy: -2.32 eV per atom

---

LiMgCu10: optimized geometry, PBE-GGA.

Unit cell a=4.1032 b=4.8229 c=8.5009 alpha=90.00 beta=90.00 gamma=90.00
Last column: nearest neighbours and their distance in Å.
Fractional positions:
Li (0.0000, 0.5000, 0.5000)  6 Cu 2.79-2.82
Mg (0.0000, 0.0000, 0.0000)  6 Cu 2.80-2.84
Cu (0.0000, 0.0000, 0.3345)  6 Cu 2.49
Cu (0.0000, 0.5000, 0.8322)  6 Cu 2.48-2.50
Cu (0.0000, 0.5000, 0.1678)  6 Cu 2.48-2.50
Cu (0.0000, 0.0000, 0.6655)  6 Cu 2.49
Cu (0.5000, 0.0000, 0.5000)  8 Cu 2.45-2.49
Cu (0.5000, 0.5000, 0.0000)  8 Cu 2.44-2.50
Cu (0.5000, 0.2490, 0.2493)  8 Cu 2.40-2.49
Cu (0.5000, 0.7510, 0.7507)  8 Cu 2.40-2.49
Cu (0.5000, 0.7510, 0.2493)  8 Cu 2.40-2.49
Cu (0.5000, 0.2490, 0.7507)  8 Cu 2.40-2.49

Output
ΔH_f (0 K): 2 meV/atom
ρ: 6.58 g cm⁻³
Electronic total energy: -3.70 eV per atom

---

Li5Mg2Cu2: optimized geometry, PBE-GGA.

Unit cell a=4.4850 b=8.5986 c=8.5986 alpha=80.45 beta=74.88 gamma=74.88
Last column: nearest neighbours and their distance in Å.
Fractional positions:
Li (0.1264, 0.2982, 0.6181)  2 Li 2.58-2.83, 2 Cu 2.65-2.74
Li (0.0427, 0.7018, 0.3819)  2 Li 2.58-2.83, 2 Cu 2.65-2.74
Li (0.6264, 0.1181, 0.7982)  2 Li 2.58-2.83, 2 Cu 2.65-2.74
Li (0.5427, 0.8819, 0.2018)  2 Li 2.58-2.83, 2 Cu 2.65-2.74
Li (0.9250, 0.3422, 0.9511)  4 Li 2.55-2.83, 3 Cu 2.73-2.77, 1 Mg 2.83
Li (0.2182, 0.6578, 0.0489)  4 Li 2.55-2.83, 3 Cu 2.73-2.77, 1 Mg 2.83
Li (0.4250, 0.4511, 0.8422)  4 Li 2.55-2.83, 3 Cu 2.73-2.77, 1 Mg 2.83
Li (0.7182, 0.5489, 0.1578)  4 Li 2.55-2.83, 3 Cu 2.73-2.77, 1 Mg 2.83
Li (0.3110, 0.0657, 0.4343)  4 Li 2.58-2.68, 2 Mg 2.75-2.79
Li (0.8110, 0.9343, 0.5657)  4 Li 2.58-2.68, 2 Mg 2.75-2.79
Mg (0.0832, 0.0000, 0.0000)  6 Li 2.83-2.91, 4 Cu 2.93-3.02, 2 Mg 3.12
Mg (0.5832, 0.5000, 0.5000)  6 Li 2.83-2.91, 4 Cu 2.93-3.02, 2 Mg 3.12
Mg (0.8165, 0.2115, 0.2885)  4 Cu 2.74-2.77, 4 Li 2.75-2.90
Mg (0.3165, 0.7885, 0.7115)  4 Cu 2.74-2.77, 4 Li 2.75-2.90
Cu (0.4197, 0.2057, 0.0959)  1 Cu 2.45, 4 Li 2.65-2.74
Cu (0.7213, 0.7943, 0.9041)  1 Cu 2.45, 4 Li 2.65-2.74
Cu (0.9197, 0.5959, 0.7057)  1 Cu 2.45, 4 Li 2.65-2.74
Cu (0.2213, 0.4041, 0.2943)  1 Cu 2.45, 4 Li 2.65-2.74

Output
ΔH_f (0 K): 15 meV/atom
ρ: 2.27 g cm⁻³
Electronic total energy: -2.31 eV per atom

---

Li2Mg6Cu: optimized geometry, PBE-GGA.

Unit cell a=3.2254 b=8.0474 c=8.0467 alpha=120.00 beta=90.00 gamma=90.00
Last column: nearest neighbours and their distance in Å.
Fractional positions:
Li (0.0000, 0.3334, 0.6668)  9 Mg 2.97-3.00, 2 Li 3.23
Li (0.0000, 0.6666, 0.3332)  9 Mg 2.97-3.00, 2 Li 3.23
Mg (0.5000, 0.6237, 0.0000)  4 Li 3.00, 1 Cu 3.03, 8 Mg 3.15-3.27
Mg (0.5000, 0.3764, 0.3764)  4 Li 3.00, 1 Cu 3.03, 8 Mg 3.15-3.27
Mg (0.5000, 0.0000, 0.6236)  4 Li 3.00, 1 Cu 3.03, 8 Mg 3.15-3.27
Mg (0.0000, 0.2699, 0.0000)  2 Cu 2.71, 2 Li 2.97
Mg (0.0000, 0.7301, 0.7300)  2 Cu 2.71, 2 Li 2.97
Mg (0.0000, 0.0001, 0.2700)  2 Cu 2.71, 2 Li 2.97
Cu (0.5000, 0.0000, 0.0000)  9 Mg 2.71-3.03

Output
ΔH_f (0 K): -39 meV/atom
ρ: 2.05 g cm⁻³
Electronic total energy: -1.98 eV per atom
ΔE to the lowest computed polymorph: 0.007 eV per atom